A relaxed AcLaCeSb crystal, computed with PBE.

Output
**Crystal system**: cubic
**DOS(E_F)**: 2.28 states/eV/atom
**Energy relative to the elements, uncorrected**: -0.25 eV/atom

a = 8.017 Å, b = 8.017 Å, c = 8.017 Å
α = 90.00°, β = 90.00°, γ = 90.00°
Space group F-43m (No. 216)
Unique sites:
Ac 0.000 0.000 0.000
La 0.250 0.250 0.750
Ce 0.250 0.250 0.250
Sb 0.000 0.000 0.500

=====

A relaxed BaLi2TbAu4 crystal, computed with PBE.

Output
**Crystal system**: trigonal
**Energy of formation**: -0.67 eV/atom
**DOS(E_F)**: 0.60 states/eV/atom

a = 4.6056 Å, b = 4.6056 Å, c = 30.6100 Å
α = 90.00°, β = 90.00°, γ = 120.00°
Space group R-3m (No. 166, hexagonal axes)
Unique sites:
Ba 0.0000 0.0000 0.0000
Li 0.0000 0.0000 0.2403
Tb 0.0000 0.0000 0.5000
Au 0.0000 0.0000 0.1164
Au 0.0000 0.0000 0.4031